# Zn2Cu2Au3, relaxed, DFT GGA-PBE
data_Zn2Cu2Au3
_symmetry_space_group_name_H-M 'P 1'
_symmetry_Int_Tables_number 1
_symmetry_space_group_name_Hall 'P 1'
_cell_length_a 4.310
_cell_length_b 4.475
_cell_length_c 6.808
_cell_angle_alpha 101.35
_cell_angle_beta 95.49
_cell_angle_gamma 117.91
loop_
_atom_site_label
_atom_site_fract_x
_atom_site_fract_y
_atom_site_fract_z
Zn1 0.041 0.163 0.213
Zn2 0.959 0.837 0.787
Cu1 0.323 0.765 0.092
Cu2 0.677 0.235 0.908
Au1 0.259 0.447 0.704
Au2 0.500 0.000 0.500
Au3 0.741 0.553 0.296
# * E_form: -87 meV per atom
# * SG: P-1 (2)
# * DOS at the Fermi energy: 1.91 states/eV per cell